(1)
## NaPa4MnN8 (PBE)

Data for a geometry-optimized NaPa4MnN8 structure.

## Properties
energy relative to the elements, uncorrected = -16.057 eV/f.u.
density of states at the Fermi level = 5.1 states/eV per cell
ρ = 8.915 Mg/m³

a b c (Å): 7.112 7.112 6.270
angles (deg): 55.45 55.45 60.00
Fractional positions:
Mn 0.375 0.375 0.876
Pa 0.503 0.993 0.510
Pa 0.993 0.993 0.510
Pa 0.575 0.575 0.274
Pa 0.993 0.503 0.510
N 0.761 0.214 0.264
N 0.761 0.761 0.264
N 0.299 0.732 0.670
N 0.732 0.299 0.670
N 0.236 0.236 0.293
N 0.299 0.299 0.670
N 0.752 0.752 0.743
N 0.214 0.761 0.264
Na 0.007 0.007 0.979



(2)
## NaPa2MnN5 (PBE)

Data for a geometry-optimized NaPa2MnN5 structure.

## Properties
energy relative to the elements, uncorrected = -8.873 eV/f.u.
density of states at the Fermi level = 4.5 states/eV per cell
ρ = 8.371 Mg/m³

a b c (Å): 6.649 6.649 7.216
angles (deg): 117.43 117.43 90.00
Fractional positions:
Pa 0.317 0.817 0.000
Pa 0.817 0.683 0.000
Pa 0.683 0.183 0.000
Pa 0.183 0.317 0.000
N 0.500 0.500 0.000
N 0.496 0.268 0.264
N 0.268 0.768 0.264
N 0.000 0.000 0.000
N 0.732 0.232 0.736
N 0.768 0.996 0.264
N 0.232 0.004 0.736
N 0.996 0.496 0.264
N 0.004 0.504 0.736
N 0.504 0.732 0.736
Mn 0.250 0.750 0.500
Mn 0.750 0.250 0.500
Na 0.750 0.750 0.500
Na 0.250 0.250 0.500



Question: Among the records above, which one has the highest energy relative to the elements, uncorrected?
Answer: NaPa2MnN5



Question: Among the records above, which one has the lowest energy relative to the elements, uncorrected?
Answer: NaPa4MnN8